(1)
Computed, not measured: a relaxed structure of B5C7 at the GGA-PBE level of DFT.

Summary:
Crystal system: monoclinic
SG: Pm, No. 6
Energy above the most stable polymorph in this dataset: 115 meV per atom
ΔE_f: 373 meV per atom

Cell lengths 2.482, 4.817, 6.591 Å; angles 94.57, 90.00, 90.00 degrees
Fractional positions:
B1 0.500 0.824 0.339
B2 0.500 0.193 0.902
B3 0.000 0.658 0.675
B4 0.000 0.325 0.325
B5 0.000 0.979 0.012
C1 0.500 0.509 0.237
C2 0.500 0.512 0.004
C3 0.000 0.321 0.590
C4 0.000 0.003 0.253
C5 0.000 0.651 0.927
C6 0.500 0.167 0.649
C7 0.500 0.855 0.586

=====

(2)
Computed, not measured: a relaxed structure of KNbCl2 at the GGA-PBE level of DFT.

Summary:
Crystal system: tetragonal
SG: I-42d, No. 122
Energy above the most stable polymorph in this dataset: 143 meV per atom

Cell lengths 5.820, 5.820, 8.772 Å; angles 70.63, 70.63, 90.00 degrees
Site moments in Bohr magnetons follow the coordinates.
Fractional positions:
Nb1 0.000 0.000 0.000  2.77
Nb2 0.750 0.250 0.500  2.77
K1 0.500 0.500 0.000  0.02
K2 0.250 0.750 0.500  0.02
Cl1 0.711 0.125 0.250  0.00
Cl2 0.039 0.625 0.250  0.00
Cl3 0.375 0.289 0.750  0.01
Cl4 0.875 0.961 0.750  0.00